CsSi4O7 | Alexandria | PBE | optimized geometry; M_tot = 0.0833 μB/atom; crystal system = orthorhombic; final energy = -170.4 eV for the cell shown
1.0
14.047 0.000 0.000
0.000 5.658 0.000
0.000 0.000 5.076
Cs Si O
2 8 14
Direct
0.000 0.001 0.000
0.500 0.999 0.500
0.092 0.545 0.484
0.246 0.168 0.279
0.254 0.832 0.779
0.408 0.455 0.984
0.592 0.455 0.984
0.746 0.832 0.779
0.754 0.168 0.279
0.908 0.545 0.484
0.000 0.429 0.660
0.149 0.302 0.370
0.165 0.654 0.722
0.220 0.015 0.014
0.280 0.985 0.514
0.335 0.346 0.222
0.351 0.698 0.870
0.500 0.571 0.160
0.649 0.698 0.870
0.665 0.346 0.222
0.720 0.985 0.514
0.780 0.015 0.014
0.835 0.654 0.722
0.851 0.302 0.370


Cs2SiO | Alexandria | PBE | optimized geometry; M_tot = 0.8256 μB/atom; crystal system = cubic; ΔE to the lowest computed polymorph = 3.54 eV/f.u.
1.0
0.000 4.197 4.197
4.197 0.000 4.197
4.197 4.197 0.000
Cs Si O
2 1 1
Direct
0.250 0.250 0.250
0.750 0.750 0.750
0.000 0.000 0.000
0.500 0.500 0.500


Cs4Si3O8 | Alexandria | PBE | optimized geometry; M_tot = 0.0024 μB/atom; crystal system = triclinic; final energy = -383.4 eV for the cell shown
1.0
9.515 0.000 0.000
-4.612 10.316 0.000
-2.544 -4.120 12.801
Cs Si O
16 12 32
Direct
0.041 0.272 0.257
0.066 0.098 0.671
0.075 0.455 0.860
0.375 0.259 0.493
0.382 0.900 0.329
0.390 0.076 0.909
0.395 0.731 0.750
0.434 0.558 0.158
0.566 0.442 0.842
0.605 0.269 0.250
0.610 0.924 0.091
0.618 0.100 0.671
0.625 0.741 0.507
0.925 0.545 0.140
0.934 0.902 0.329
0.959 0.728 0.743
0.125 0.401 0.573
0.135 0.206 0.984
0.181 0.048 0.143
0.191 0.790 0.022
0.194 0.860 0.558
0.197 0.599 0.435
0.803 0.401 0.565
0.806 0.140 0.442
0.809 0.210 0.978
0.819 0.952 0.857
0.865 0.794 0.016
0.875 0.599 0.427
0.002 0.458 0.612
0.010 0.247 0.486
0.013 0.268 0.016
0.018 0.053 0.895
0.215 0.176 0.091
0.222 0.501 0.507
0.234 0.975 0.500
0.239 0.714 0.100
0.250 0.402 0.669
0.250 0.913 0.684
0.251 0.782 0.919
0.252 0.108 0.267
0.264 0.959 0.088
0.271 0.303 0.944
0.273 0.754 0.518
0.280 0.593 0.345
0.720 0.407 0.655
0.727 0.246 0.482
0.729 0.697 0.056
0.736 0.041 0.912
0.748 0.892 0.733
0.749 0.218 0.081
0.750 0.087 0.316
0.750 0.598 0.331
0.761 0.286 0.900
0.766 0.025 0.500
0.778 0.499 0.493
0.785 0.824 0.909
0.982 0.947 0.105
0.987 0.732 0.984
0.990 0.753 0.514
0.998 0.542 0.388


Cs4SiO4 | Alexandria | PBE | optimized geometry; M_tot = 0.0131 μB/atom; crystal system = monoclinic; ΔE to the lowest computed polymorph = 0.00 eV/f.u.
1.0
7.086 0.000 0.000
0.000 19.022 0.000
-2.586 0.000 6.677
Cs Si O
16 4 16
Direct
0.131 0.197 0.171
0.131 0.303 0.671
0.199 0.506 0.796
0.199 0.994 0.296
0.342 0.571 0.328
0.342 0.929 0.828
0.367 0.700 0.854
0.367 0.800 0.354
0.633 0.200 0.646
0.633 0.300 0.146
0.658 0.071 0.172
0.658 0.429 0.672
0.801 0.006 0.704
0.801 0.494 0.204
0.869 0.697 0.329
0.869 0.803 0.829
0.249 0.120 0.767
0.249 0.380 0.267
0.751 0.620 0.733
0.751 0.880 0.233
0.032 0.146 0.592
0.032 0.354 0.092
0.205 0.067 0.933
0.205 0.433 0.433
0.382 0.190 0.893
0.382 0.310 0.393
0.397 0.077 0.667
0.397 0.423 0.167
0.603 0.577 0.833
0.603 0.923 0.333
0.618 0.690 0.607
0.618 0.810 0.107
0.795 0.567 0.567
0.795 0.933 0.067
0.968 0.646 0.908
0.968 0.854 0.408


Cs2SiO3 | Alexandria | PBE | optimized geometry; M_tot = 0.0000 μB/atom; crystal system = monoclinic; final energy = -71.1 eV for the cell shown
1.0
6.054 -3.198 0.000
6.054 3.198 0.000
-5.291 0.000 6.881
Cs Si O
4 2 6
Direct
0.068 0.068 0.346
0.311 0.311 0.201
0.689 0.689 0.799
0.932 0.932 0.654
0.388 0.388 0.831
0.612 0.612 0.169
0.239 0.239 0.790
0.311 0.689 0.000
0.387 0.387 0.644
0.613 0.613 0.356
0.689 0.311 0.000
0.761 0.761 0.210


Cs2Si2O5 | Alexandria | PBE | optimized geometry; M_tot = 0.0000 μB/atom; crystal system = monoclinic; final energy = -479.7 eV for the cell shown
1.0
10.204 0.000 0.000
0.000 8.830 0.000
-10.100 0.000 15.749
Cs Si O
16 16 40
Direct
0.178 0.135 0.091
0.178 0.365 0.591
0.244 0.627 0.084
0.244 0.873 0.584
0.263 0.598 0.418
0.263 0.902 0.918
0.319 0.121 0.408
0.319 0.379 0.908
0.681 0.621 0.092
0.681 0.879 0.592
0.737 0.098 0.082
0.737 0.402 0.582
0.756 0.127 0.416
0.756 0.373 0.916
0.822 0.635 0.409
0.822 0.865 0.909
0.063 0.701 0.696
0.063 0.799 0.196
0.072 0.074 0.696
0.072 0.426 0.196
0.427 0.686 0.807
0.427 0.814 0.307
0.439 0.058 0.802
0.439 0.442 0.302
0.561 0.558 0.698
0.561 0.942 0.198
0.573 0.186 0.693
0.573 0.314 0.193
0.928 0.574 0.804
0.928 0.926 0.304
0.937 0.201 0.804
0.937 0.299 0.304
0.007 0.640 0.604
0.007 0.860 0.104
0.045 0.643 0.895
0.045 0.857 0.395
0.054 0.142 0.774
0.054 0.358 0.274
0.059 0.612 0.202
0.059 0.888 0.702
0.241 0.649 0.773
0.241 0.851 0.273
0.257 0.110 0.729
0.257 0.390 0.229
0.439 0.629 0.298
0.439 0.871 0.798
0.453 0.611 0.735
0.453 0.889 0.235
0.460 0.123 0.599
0.460 0.377 0.099
0.496 0.623 0.605
0.496 0.877 0.105
0.504 0.123 0.895
0.504 0.377 0.395
0.540 0.623 0.901
0.540 0.877 0.401
0.547 0.111 0.765
0.547 0.389 0.265
0.561 0.129 0.202
0.561 0.371 0.702
0.743 0.610 0.771
0.743 0.890 0.271
0.759 0.149 0.727
0.759 0.351 0.227
0.941 0.112 0.298
0.941 0.388 0.798
0.946 0.642 0.726
0.946 0.858 0.226
0.955 0.143 0.605
0.955 0.357 0.105
0.993 0.140 0.896
0.993 0.360 0.396


CsSiO2 | Alexandria | PBE | optimized geometry; M_tot = 0.0000 μB/atom; crystal system = trigonal; ΔE to the lowest computed polymorph = 2.80 eV/f.u.
1.0
1.540 0.889 7.695
-1.540 0.889 7.695
0.000 -1.779 7.695
Cs Si O
1 1 2
Direct
0.000 0.000 0.000
0.500 0.500 0.500
0.130 0.130 0.130
0.870 0.870 0.870


CsSiO2 | Alexandria | PBE | optimized geometry; M_tot = 0.0000 μB/atom; crystal system = trigonal; ΔE to the lowest computed polymorph = 1.01 eV/f.u.
1.0
1.949 1.125 7.007
-1.949 1.125 7.007
0.000 -2.250 7.007
Cs Si O
1 1 2
Direct
0.000 0.000 0.000
0.500 0.500 0.500
0.426 0.426 0.426
0.574 0.574 0.574